DFT (PBE-GGA) results for a relaxed structure of HfIr2Rh2.

a b c (Å): 4.9108 4.9108 5.8117
angles (deg): 127.51 127.45 63.84
Last column: nearest neighbours and their distance in Å.
Fractional coordinates of all 5 atoms:
Rh 0.3505 0.3501 0.7007  1 Rh 2.42, 4 Ir 2.59
Ir 0.7502 0.2502 0.5000  4 Rh 2.59, 2 Ir 2.60
Hf 0.0000 0.0000 0.0000  6 Rh 2.84-2.87
Ir 0.2498 0.7498 0.5000  4 Rh 2.59, 2 Ir 2.60
Rh 0.6495 0.6499 0.2993  1 Rh 2.42, 4 Ir 2.59

Calculated values
For the formation energy, the calculation gives -0.8 kcal/mol of atoms. Its space group is No. 69. Its crystal system is orthorhombic.